Pr4Tl5Zn2 | the Alexandria database | PBE-GGA | relaxed; space-group type = No. 10; N(E_F) = 10.6 states/eV per cell; magnetic moment = 0.00 μB/f.u.; ΔH_f (0 K) = -0.304 eV per atom; crystal system = monoclinic
1.0
8.3128 0.0000 0.0000
0.0000 3.8682 0.0000
-0.0219 0.0000 9.7460
Pr Tl Zn
4 5 2
direct
0.2101 0.0000 0.3572
0.2416 0.0000 0.8963
0.7584 0.0000 0.1037
0.7899 0.0000 0.6428
0.1266 0.5000 0.6324
0.4304 0.5000 0.1519
0.5000 0.5000 0.5000
0.5696 0.5000 0.8481
0.8734 0.5000 0.3676
0.0726 0.5000 0.1173
0.9274 0.5000 0.8827


TlInSe2 | the Alexandria database | PBE-GGA | relaxed; space-group type = No. 122; raw formation energy = -191 kJ/mol of formula units; N(E_F) = 0.0 states/eV per cell; magnetic moment = 0.00 μB/f.u.; crystal system = tetragonal
1.0
7.5775 0.0000 0.0000
0.0000 7.5775 0.0000
0.0000 0.0000 9.2845
Tl In Se
4 4 8
direct
0.0000 0.0000 0.0000
0.0000 0.5000 0.2500
0.5000 0.0000 0.7500
0.5000 0.5000 0.5000
0.0000 0.0000 0.5000
0.0000 0.5000 0.7500
0.5000 0.0000 0.2500
0.5000 0.5000 0.0000
0.1846 0.2500 0.6250
0.2500 0.6846 0.8750
0.2500 0.8154 0.3750
0.3154 0.2500 0.1250
0.6846 0.7500 0.1250
0.7500 0.1846 0.3750
0.7500 0.3154 0.8750
0.8154 0.7500 0.6250


LiLaCl | the Alexandria database | PBE-GGA | relaxed; space-group type = No. 187; raw formation energy = -197 kJ/mol of formula units; N(E_F) = 2.2 states/eV per cell; magnetic moment = 0.00 μB/f.u.; crystal system = hexagonal
1.0
4.9235 0.0000 0.0000
-2.4618 4.2639 0.0000
0.0000 0.0000 4.2230
Li La Cl
1 1 1
direct
0.0000 0.0000 0.0000
0.3333 0.6667 0.5000
0.6667 0.3333 0.5000


Tb8PmHo3 | the Alexandria database | PBE-GGA | relaxed; space-group type = No. 121; N(E_F) = 18.2 states/eV per cell; magnetic moment = 0.00 μB/f.u.; ΔH_f (0 K) = 0.647 eV per atom; crystal system = tetragonal
1.0
-4.3303 4.3303 5.6808
4.3303 -4.3303 5.6808
4.3303 4.3303 -5.6808
Tb Pm Ho
8 1 3
direct
0.1216 0.1216 0.7483
0.2404 0.2404 0.4936
0.2532 0.7596 0.0000
0.3733 0.3733 0.2517
0.6267 0.8784 0.0000
0.7468 0.7468 0.5064
0.7596 0.2532 0.0000
0.8784 0.6267 0.0000
0.5000 0.5000 0.0000
0.0000 0.0000 0.0000
0.2500 0.7500 0.5000
0.7500 0.2500 0.5000


BaSr3B | the Alexandria database | PBE-GGA | relaxed; space-group type = No. 221; N(E_F) = 5.9 states/eV per cell; magnetic moment = 0.00 μB/f.u.; ΔH_f (0 K) = 0.336 eV per atom; crystal system = cubic
1.0
5.9866 0.0000 0.0000
0.0000 5.9866 0.0000
0.0000 0.0000 5.9866
Ba Sr B
1 3 1
direct
0.0000 0.0000 0.0000
0.0000 0.5000 0.5000
0.5000 0.0000 0.5000
0.5000 0.5000 0.0000
0.5000 0.5000 0.5000


Computed electronic total energy (eV per atom) in order:
-3.349 -3.513 -3.576 -3.981 -2.393